1.
# GGA-PBE BeReAs2, optimized geometry
# energy of formation: 447 meV/atom
data_BeReAs2
_chemical_formula_sum 'Be4 Re4 As8'
_symmetry_space_group_name_H-M 'I -4 2 d'
_symmetry_Int_Tables_number 122
_symmetry_space_group_name_Hall 'I -4 2bw'
_cell_length_a 5.474
_cell_length_b 5.474
_cell_length_c 10.659
_cell_angle_alpha 90.00
_cell_angle_beta 90.00
_cell_angle_gamma 90.00
loop_
_atom_site_label
_atom_site_fract_x
_atom_site_fract_y
_atom_site_fract_z
_atom_site_occupancy
Be1 0.000 0.000 0.000 1
Re1 0.000 0.000 0.500 1
As1 0.231 0.250 0.125 1



2.
# GGA-PBE Tb2SmCuSe5, optimized geometry
# VASP energy: -197.1 eV per cell
data_Tb2SmCuSe5
_chemical_formula_sum 'Tb8 Sm4 Cu4 Se20'
_symmetry_space_group_name_H-M 'C m c 21'
_symmetry_Int_Tables_number 36
_symmetry_space_group_name_Hall 'C 2c -2'
_cell_length_a 4.008
_cell_length_b 17.945
_cell_length_c 11.958
_cell_angle_alpha 90.00
_cell_angle_beta 90.00
_cell_angle_gamma 90.00
loop_
_atom_site_label
_atom_site_fract_x
_atom_site_fract_y
_atom_site_fract_z
_atom_site_occupancy
Tb1 0.000 0.105 0.000 1
Tb2 0.000 0.117 0.624 1
Sm1 0.000 0.193 0.327 1
Cu1 0.000 0.436 0.772 1
Se1 0.000 0.041 0.382 1
Se2 0.000 0.291 0.002 1
Se3 0.000 0.321 0.654 1
Se4 0.000 0.359 0.318 1
Se5 0.000 0.498 0.097 1



3.
# GGA-PBE Na2PmC2O6, optimized geometry
# VASP energy: -75.7 eV per cell
data_Na2PmC2O6
_chemical_formula_sum 'Na2 Pm1 C2 O6'
_symmetry_space_group_name_H-M 'P -3'
_symmetry_Int_Tables_number 147
_symmetry_space_group_name_Hall '-P 3'
_cell_length_a 5.2318
_cell_length_b 5.2318
_cell_length_c 7.7617
_cell_angle_alpha 90.00
_cell_angle_beta 90.00
_cell_angle_gamma 120.00
loop_
_atom_site_label
_atom_site_fract_x
_atom_site_fract_y
_atom_site_fract_z
_atom_site_occupancy
Na1 0.3333 0.6667 0.3353 1
Pm1 0.0000 0.0000 0.0000 1
C1 0.3333 0.6667 0.8303 1
O1 0.0940 0.4105 0.8279 1



4.
# GGA-PBE PmDy4Rh4, optimized geometry
# energy of formation: -651 meV/atom
data_PmDy4Rh4
_chemical_formula_sum 'Pm2 Dy8 Rh8'
_symmetry_space_group_name_H-M 'P 42/n'
_symmetry_Int_Tables_number 86
_cell_length_a 8.871
_cell_length_b 8.871
_cell_length_c 5.619
_cell_angle_alpha 90.00
_cell_angle_beta 90.00
_cell_angle_gamma 90.00
loop_
_symmetry_equiv_pos_as_xyz
'x,y,z'
'-x,-y,-z'
'-y,x+1/2,z+1/2'
'y,-x+1/2,-z+1/2'
'-x+1/2,-y+1/2,z'
'x+1/2,y+1/2,-z'
'y+1/2,-x,z+1/2'
'-y+1/2,x,-z+1/2'
loop_
_atom_site_label
_atom_site_fract_x
_atom_site_fract_y
_atom_site_fract_z
_atom_site_occupancy
Pm1 0.250 0.250 0.250 1
Dy1 0.072 0.659 0.164 1
Rh1 0.034 0.623 0.661 1



5.
# GGA-PBE Er2Sn3, optimized geometry
# energy of formation: -584 meV/atom
# excess energy over the best structure of this formula in the dataset: 0 meV per atom
data_Er2Sn3
_chemical_formula_sum 'Er4 Sn6'
_symmetry_space_group_name_H-M 'P 4/m'
_symmetry_Int_Tables_number 83
_symmetry_space_group_name_Hall '-P 4'
_cell_length_a 7.622
_cell_length_b 7.622
_cell_length_c 4.468
_cell_angle_alpha 90.00
_cell_angle_beta 90.00
_cell_angle_gamma 90.00
loop_
_atom_site_label
_atom_site_fract_x
_atom_site_fract_y
_atom_site_fract_z
_atom_site_occupancy
Er1 0.144 0.694 0.000 1
Sn1 0.000 0.000 0.500 1
Sn2 0.174 0.396 0.500 1
Sn3 0.500 0.500 0.000 1



6.
# GGA-PBE Sm3YHo2As6, optimized geometry
# energy of formation: -1530 meV/atom
data_Sm3YHo2As6
_chemical_formula_sum 'Sm6 Y2 Ho4 As12'
_symmetry_space_group_name_H-M 'C 1 2/m 1'
_symmetry_Int_Tables_number 12
_symmetry_space_group_name_Hall '-C 2y'
_cell_length_a 18.134
_cell_length_b 4.163
_cell_length_c 8.320
_cell_angle_alpha 90.00
_cell_angle_beta 103.22
_cell_angle_gamma 90.00
loop_
_atom_site_label
_atom_site_fract_x
_atom_site_fract_y
_atom_site_fract_z
_atom_site_occupancy
Sm1 0.000 0.000 0.000 1
Sm2 0.167 0.500 0.333 1
Y1 0.000 0.000 0.500 1
Ho1 0.167 0.500 0.833 1
As1 0.002 0.500 0.747 1
As2 0.166 0.000 0.587 1
As3 0.168 0.000 0.079 1



7.
# GGA-PBE BaPr3Hg4, optimized geometry
# energy of formation: -438 meV/atom
data_BaPr3Hg4
_chemical_formula_sum 'Ba2 Pr6 Hg8'
_symmetry_space_group_name_H-M 'P m m a'
_symmetry_Int_Tables_number 51
_symmetry_space_group_name_Hall '-P 2a 2a'
_cell_length_a 11.121
_cell_length_b 7.930
_cell_length_c 5.562
_cell_angle_alpha 90.00
_cell_angle_beta 90.00
_cell_angle_gamma 90.00
loop_
_atom_site_label
_atom_site_fract_x
_atom_site_fract_y
_atom_site_fract_z
_atom_site_occupancy
Ba1 0.000 0.000 0.000 1
Pr1 0.000 0.500 0.000 1
Pr2 0.250 0.000 0.500 1
Pr3 0.250 0.500 0.499 1
Hg1 0.000 0.266 0.500 1
Hg2 0.250 0.266 0.999 1



8.
# GGA-PBE Cs3Pm2NdO6, optimized geometry
# VASP energy: -153.8 eV per cell
data_Cs3Pm2NdO6
_chemical_formula_sum 'Cs6 Pm4 Nd2 O12'
_symmetry_space_group_name_H-M 'C 1 2/m 1'
_symmetry_Int_Tables_number 12
_symmetry_space_group_name_Hall '-C 2y'
_cell_length_a 6.384
_cell_length_b 11.057
_cell_length_c 7.265
_cell_angle_alpha 90.00
_cell_angle_beta 107.03
_cell_angle_gamma 90.00
loop_
_atom_site_label
_atom_site_fract_x
_atom_site_fract_y
_atom_site_fract_z
_atom_site_occupancy
Cs1 0.000 0.000 0.000 1
Cs2 0.000 0.333 0.000 1
Pm1 0.000 0.167 0.500 1
Nd1 0.000 0.500 0.500 1
O1 0.221 0.000 0.669 1
O2 0.224 0.332 0.669 1



- Number 8 is which compound?
  Cs3Pm2NdO6